This record from Alexandria via LeMat-Bulk describes a relaxed structure of Ce3TmN4. The functional is GGA-PBE.

a = 6.112 Å, b = 7.062 Å, c = 6.100 Å
α = 90.00°, β = 109.49°, γ = 90.00°
Element x y z (fractional)
Ce1 0.000 0.124 0.250
Ce2 0.000 0.374 0.750
Ce3 0.000 0.626 0.250
Ce4 0.000 0.876 0.750
Ce5 0.500 0.373 0.250
Ce6 0.500 0.627 0.750
Tm1 0.500 0.123 0.750
Tm2 0.500 0.877 0.250
N1 0.255 0.369 0.505
N2 0.255 0.631 0.005
N3 0.257 0.121 0.000
N4 0.257 0.879 0.500
N5 0.743 0.121 0.500
N6 0.743 0.879 0.000
N7 0.745 0.369 0.995
N8 0.745 0.631 0.495

The total moment comes out at 0.064 μB per atom. The total energy comes out at -8.505 eV per atom. The volume comes out at 15.52 Å³/atom. The space-group type is P2/c.